# NaAlZn2Au4 PBE relaxed
data_NaAlZn2Au4
_cell_length_a 4.593
_cell_length_b 4.593
_cell_length_c 8.006
_cell_angle_alpha 73.33
_cell_angle_beta 73.33
_cell_angle_gamma 60.00
_symmetry_space_group_name_H-M 'P 1'
_symmetry_Int_Tables_number 1
loop_
_symmetry_equiv_pos_as_xyz
'x,y,z'
loop_
_atom_site_label
_atom_site_fract_x
_atom_site_fract_y
_atom_site_fract_z
_atom_site_occupancy
Na1 0.000 0.000 0.000 1
Al1 0.500 0.500 0.500 1
Zn1 0.741 0.741 0.777 1
Zn2 0.259 0.259 0.223 1
Au1 0.386 0.386 0.842 1
Au2 0.866 0.866 0.402 1
Au3 0.134 0.134 0.598 1
Au4 0.614 0.614 0.158 1
# Calculated volume in Å³/atom: 17.25
# Final energy in eV per cell: -22.840

***

# SrIn2Ru PBE relaxed
data_SrIn2Ru
_cell_length_a 5.276
_cell_length_b 5.276
_cell_length_c 5.276
_cell_angle_alpha 126.96
_cell_angle_beta 126.96
_cell_angle_gamma 78.32
_symmetry_space_group_name_H-M 'P 1'
_symmetry_Int_Tables_number 1
loop_
_symmetry_equiv_pos_as_xyz
'x,y,z'
loop_
_atom_site_label
_atom_site_fract_x
_atom_site_fract_y
_atom_site_fract_z
_atom_site_occupancy
In1 0.000 0.000 0.000 1
In2 0.500 0.500 0.000 1
Ru1 0.250 0.750 0.500 1
Sr1 0.750 0.250 0.500 1
# Calculated volume in Å³/atom: 22.71
# Final energy in eV per cell: -16.029

***

# RhSe2Br PBE relaxed
data_RhSe2Br
_cell_length_a 4.756
_cell_length_b 4.756
_cell_length_c 4.756
_cell_angle_alpha 60.00
_cell_angle_beta 60.00
_cell_angle_gamma 60.00
_symmetry_space_group_name_H-M 'P 1'
_symmetry_Int_Tables_number 1
loop_
_symmetry_equiv_pos_as_xyz
'x,y,z'
loop_
_atom_site_label
_atom_site_fract_x
_atom_site_fract_y
_atom_site_fract_z
_atom_site_occupancy
Br1 0.500 0.500 0.500 1
Rh1 0.750 0.750 0.750 1
Se1 0.000 0.000 0.000 1
Se2 0.250 0.250 0.250 1
# Raw formation energy in eV per atom: 0.66
# Calculated volume in Å³/atom: 19.01
# Final energy in eV per cell: -13.371
# Excess energy over the best structure of this formula in the dataset in eV/f.u.: 3.87

***

# AcHgAs PBE relaxed
data_AcHgAs
_cell_length_a 4.290
_cell_length_b 4.290
_cell_length_c 5.671
_cell_angle_alpha 112.22
_cell_angle_beta 112.22
_cell_angle_gamma 90.00
_symmetry_space_group_name_H-M 'P 1'
_symmetry_Int_Tables_number 1
loop_
_symmetry_equiv_pos_as_xyz
'x,y,z'
loop_
_atom_site_label
_atom_site_fract_x
_atom_site_fract_y
_atom_site_fract_z
_atom_site_occupancy
As1 0.322 0.322 0.644 1
Ac1 0.676 0.676 0.351 1
Hg1 0.002 0.002 0.005 1
# Calculated volume in Å³/atom: 29.40
# Final energy in eV per cell: -10.999
# Excess energy over the best structure of this formula in the dataset in eV/f.u.: 0.46

***

# DyEr4Hg PBE relaxed
data_DyEr4Hg
_cell_length_a 6.297
_cell_length_b 8.888
_cell_length_c 8.143
_cell_angle_alpha 113.15
_cell_angle_beta 99.86
_cell_angle_gamma 113.25
_symmetry_space_group_name_H-M 'P 1'
_symmetry_Int_Tables_number 1
loop_
_symmetry_equiv_pos_as_xyz
'x,y,z'
loop_
_atom_site_label
_atom_site_fract_x
_atom_site_fract_y
_atom_site_fract_z
_atom_site_occupancy
Dy1 0.343 0.593 0.187 1
Dy2 0.657 0.407 0.813 1
Er1 0.038 0.162 0.760 1
Er2 0.756 0.713 0.623 1
Er3 0.222 0.597 0.760 1
Er4 0.366 0.910 0.623 1
Er5 0.634 0.090 0.377 1
Er6 0.778 0.403 0.240 1
Er7 0.244 0.287 0.377 1
Er8 0.962 0.838 0.240 1
Hg1 0.251 0.001 0.001 1
Hg2 0.749 0.999 0.999 1
# Calculated volume in Å³/atom: 29.59
# Final energy in eV per cell: -46.822
# Excess energy over the best structure of this formula in the dataset in eV/f.u.: 0.60

***

# HoZnPd PBE relaxed
data_HoZnPd
_cell_length_a 4.559
_cell_length_b 4.559
_cell_length_c 4.559
_cell_angle_alpha 60.00
_cell_angle_beta 60.00
_cell_angle_gamma 60.00
_symmetry_space_group_name_H-M 'P 1'
_symmetry_Int_Tables_number 1
loop_
_symmetry_equiv_pos_as_xyz
'x,y,z'
loop_
_atom_site_label
_atom_site_fract_x
_atom_site_fract_y
_atom_site_fract_z
_atom_site_occupancy
Zn1 0.500 0.500 0.500 1
Ho1 0.000 0.000 0.000 1
Pd1 0.250 0.250 0.250 1
# Calculated volume in Å³/atom: 22.33
# Final energy in eV per cell: -12.744

***

# TbHoRh PBE relaxed
data_TbHoRh
_cell_length_a 7.360
_cell_length_b 9.312
_cell_length_c 8.706
_cell_angle_alpha 122.33
_cell_angle_beta 115.00
_cell_angle_gamma 90.00
_symmetry_space_group_name_H-M 'P 1'
_symmetry_Int_Tables_number 1
loop_
_symmetry_equiv_pos_as_xyz
'x,y,z'
loop_
_atom_site_label
_atom_site_fract_x
_atom_site_fract_y
_atom_site_fract_z
_atom_site_occupancy
Tb1 0.753 0.047 0.593 1
Tb2 0.160 0.953 0.407 1
Tb3 0.347 0.750 0.000 1
Tb4 0.347 0.250 0.000 1
Tb5 0.160 0.453 0.407 1
Tb6 0.753 0.547 0.593 1
Ho1 0.017 0.000 0.000 1
Ho2 0.017 0.500 0.000 1
Ho3 0.490 0.368 0.737 1
Ho4 0.753 0.632 0.263 1
Ho5 0.753 0.132 0.263 1
Ho6 0.490 0.868 0.737 1
Rh1 0.753 0.250 0.000 1
Rh2 0.753 0.750 0.000 1
Rh3 0.420 0.167 0.333 1
Rh4 0.087 0.833 0.667 1
Rh5 0.087 0.333 0.667 1
Rh6 0.420 0.667 0.333 1
# Calculated volume in Å³/atom: 24.25
# Final energy in eV per cell: -110.433
# Excess energy over the best structure of this formula in the dataset in eV/f.u.: 0.09

***

# ScCr3Hg PBE relaxed
data_ScCr3Hg
_cell_length_a 4.401
_cell_length_b 4.401
_cell_length_c 4.401
_cell_angle_alpha 90.00
_cell_angle_beta 90.00
_cell_angle_gamma 90.00
_symmetry_space_group_name_H-M 'P 1'
_symmetry_Int_Tables_number 1
loop_
_symmetry_equiv_pos_as_xyz
'x,y,z'
loop_
_atom_site_label
_atom_site_fract_x
_atom_site_fract_y
_atom_site_fract_z
_atom_site_occupancy
Sc1 0.000 0.000 0.000 1
Cr1 0.000 0.500 0.000 1
Cr2 0.000 0.000 0.500 1
Cr3 0.500 0.000 0.000 1
Hg1 0.500 0.500 0.500 1
# Calculated volume in Å³/atom: 17.05
# Final energy in eV per cell: -26.215
# Excess energy over the best structure of this formula in the dataset in eV/f.u.: 2.38

***

# PmP2Pb PBE relaxed
data_PmP2Pb
_cell_length_a 3.763
_cell_length_b 4.877
_cell_length_c 4.877
_cell_angle_alpha 90.00
_cell_angle_beta 90.00
_cell_angle_gamma 90.00
_symmetry_space_group_name_H-M 'P 1'
_symmetry_Int_Tables_number 1
loop_
_symmetry_equiv_pos_as_xyz
'x,y,z'
loop_
_atom_site_label
_atom_site_fract_x
_atom_site_fract_y
_atom_site_fract_z
_atom_site_occupancy
Pb1 0.500 0.500 0.500 1
P1 0.000 0.000 0.500 1
P2 0.000 0.500 0.000 1
Pm1 0.500 0.000 0.000 1
# Calculated volume in Å³/atom: 22.38
# Final energy in eV per cell: -21.033
# Excess energy over the best structure of this formula in the dataset in eV/f.u.: 0.46

***

# HfZrAu2 PBE relaxed
data_HfZrAu2
_cell_length_a 2.934
_cell_length_b 5.790
_cell_length_c 6.170
_cell_angle_alpha 117.98
_cell_angle_beta 103.75
_cell_angle_gamma 90.00
_symmetry_space_group_name_H-M 'P 1'
_symmetry_Int_Tables_number 1
loop_
_symmetry_equiv_pos_as_xyz
'x,y,z'
loop_
_atom_site_label
_atom_site_fract_x
_atom_site_fract_y
_atom_site_fract_z
_atom_site_occupancy
Hf1 0.000 0.500 0.000 1
Zr1 0.000 0.000 0.000 1
Au1 0.271 0.271 0.543 1
Au2 0.729 0.729 0.457 1
# Calculated volume in Å³/atom: 22.28
# Final energy in eV per cell: -23.642
# Excess energy over the best structure of this formula in the dataset in eV/f.u.: 3.23

***

> Among the records above, which one has the highest final energy?

AcHgAs

***

> Which formula does entry 1 have?

NaAlZn2Au4

***

> Among the records above, which one has the lowest final energy?

TbHoRh